# Fe2CoNi

A crystal of Fe2CoNi relaxed with PBEsol (meta-GGA SCAN, the Alexandria database).

Summary:
The value obtained for the relative energy among the computed polymorphs is 48.2 meV per atom. The value obtained for the magnetization is 1.937 μB per atom. As for the formation energy: -0.065 eV per atom. Its density of states at the Fermi level is 4.54 states/eV per cell.

abc: 3.5435 3.5435 4.2431
angles: 114.68 114.68 90.00
Last column: nearest neighbours and their distance in Å.
Sites, in units of the cell vectors:
1 Ni 0.0000 0.0000 0.0000  8 Fe 2.46, 4 Co 2.51
2 Fe 0.7500 0.2500 0.5000  4 Co 2.46, 4 Ni 2.46, 4 Fe 2.51
3 Co 0.5000 0.5000 0.0000  8 Fe 2.46, 4 Ni 2.51
4 Fe 0.2500 0.7500 0.5000  4 Co 2.46, 4 Ni 2.46, 4 Fe 2.51

# TaAu2Br

A crystal of TaAu2Br relaxed with PBEsol (meta-GGA SCAN, the Alexandria database).

Summary:
The value obtained for the relative energy among the computed polymorphs is 697.9 meV per atom. The value obtained for the magnetization is 0.000 μB per atom. Its density of states at the Fermi level is 4.05 states/eV per cell.

abc: 2.7451 5.2841 5.2841
angles: 90.00 90.00 90.00
Last column: nearest neighbours and their distance in Å.
Sites, in units of the cell vectors:
1 Br 0.5000 0.5000 0.5000  2 Br 2.75, 8 Au 2.98
2 Au 0.0000 0.5000 0.0000  2 Au 2.75, 4 Ta 2.98, 4 Br 2.98
3 Ta 0.5000 0.0000 0.0000  2 Ta 2.75, 8 Au 2.98
4 Au 0.0000 0.0000 0.5000  2 Au 2.75, 4 Ta 2.98, 4 Br 2.98

# ReTc

A crystal of ReTc relaxed with PBEsol (meta-GGA SCAN, the Alexandria database).

Summary:
The value obtained for the relative energy among the computed polymorphs is 55.0 meV per atom. The value obtained for the magnetization is 0.000 μB per atom. As for the formation energy: 0.042 eV per atom. Its density of states at the Fermi level is 1.67 states/eV per cell.

abc: 2.7263 2.7263 3.8578
angles: 90.00 90.00 90.00
Last column: nearest neighbours and their distance in Å.
Sites, in units of the cell vectors:
1 Tc 0.5000 0.5000 0.5000  4 Tc 2.73, 8 Re 2.73
2 Re 0.0000 0.0000 0.0000  4 Re 2.73, 8 Tc 2.73

# CrRh3

A crystal of CrRh3 relaxed with PBEsol (meta-GGA SCAN, the Alexandria database).

Summary:
The value obtained for the magnetization is 0.000 μB per atom. As for the formation energy: -0.071 eV per atom. Its density of states at the Fermi level is 3.96 states/eV per cell.

abc: 2.6565 2.6565 8.4426
angles: 90.00 90.00 120.00
Last column: nearest neighbours and their distance in Å.
Sites, in units of the cell vectors:
1 Rh 0.6667 0.3333 0.7648  3 Cr 2.51, 9 Rh 2.66-2.71
2 Rh 0.0000 0.0000 0.5000  12 Rh 2.66-2.71
3 Rh 0.6667 0.3333 0.2352  3 Cr 2.51, 9 Rh 2.66-2.71
4 Cr 0.0000 0.0000 0.0000  6 Rh 2.51, 6 Cr 2.66

# Li4VGa3O8

A crystal of Li4VGa3O8 relaxed with PBEsol (meta-GGA SCAN, the Alexandria database).

Summary:
The value obtained for the magnetization is 0.125 μB per atom. The calculation puts the uncorrected energy at -162.067 eV per formula unit.

abc: 4.9851 5.4574 6.3845
angles: 90.01 90.09 89.96
Last column: nearest neighbours and their distance in Å.
Sites, in units of the cell vectors:
1 O 0.6263 0.5739 0.3853  2 Ga 1.85-1.86, 2 Li 1.97-1.98
2 Ga 0.9992 0.0844 0.1297  4 O 1.85-1.87
3 O 0.1088 0.9084 0.3645  2 Ga 1.85-1.86, 2 Li 1.97-1.98
4 V 0.5051 0.9145 0.8712  4 O 1.88-1.91
5 Li 0.5032 0.9180 0.3749  4 O 1.95-1.98
6 Ga 0.9993 0.5842 0.3731  4 O 1.85-1.86
7 O 0.1230 0.9303 0.8891  1 Ga 1.86, 1 V 1.91, 2 Li 1.97-2.00
8 Li 0.0066 0.0839 0.6241  4 O 1.97-1.99
9 O 0.1265 0.4304 0.6126  2 Ga 1.86, 2 Li 1.97-1.99
10 Li 0.0063 0.5800 0.8767  4 O 1.97-2.00
11 Li 0.5031 0.4167 0.1254  4 O 1.97-1.98
12 O 0.1084 0.4088 0.1382  2 Ga 1.85-1.86, 2 Li 1.97-1.98
13 O 0.6247 0.0730 0.1166  1 Ga 1.87, 1 V 1.89, 2 Li 1.95-1.97
14 Ga 0.4996 0.4168 0.6227  4 O 1.85-1.86
15 O 0.6079 0.5836 0.8628  1 Ga 1.86, 1 V 1.88, 2 Li 1.98-1.99
16 O 0.6096 0.0932 0.6330  1 Ga 1.85, 1 V 1.88, 2 Li 1.98

# PaPd3

A crystal of PaPd3 relaxed with PBEsol (meta-GGA SCAN, the Alexandria database).

Summary:
The value obtained for the magnetization is 0.000 μB per atom. As for the formation energy: -0.766 eV per atom. Its density of states at the Fermi level is 4.13 states/eV per cell.

abc: 4.9903 5.6367 5.6367
angles: 120.00 90.00 90.00
Last column: nearest neighbours and their distance in Å.
Sites, in units of the cell vectors:
1 Pd 0.2500 0.6710 0.8355  8 Pd 2.78-2.97, 4 Pa 2.82-2.99
2 Pd 0.7500 0.8355 0.1645  8 Pd 2.78-2.97, 4 Pa 2.82-2.99
3 Pd 0.2500 0.1645 0.8355  8 Pd 2.78-2.97, 4 Pa 2.82-2.99
4 Pd 0.7500 0.8355 0.6710  8 Pd 2.78-2.97, 4 Pa 2.82-2.99
5 Pd 0.7500 0.3290 0.1645  8 Pd 2.78-2.97, 4 Pa 2.82-2.99
6 Pa 0.7500 0.3333 0.6667  12 Pd 2.82-2.99
7 Pa 0.2500 0.6667 0.3333  12 Pd 2.82-2.99
8 Pd 0.2500 0.1645 0.3290  8 Pd 2.78-2.97, 4 Pa 2.82-2.99

# Nd6Fe13Cu

A crystal of Nd6Fe13Cu relaxed with PBEsol (meta-GGA SCAN, the Alexandria database).

Summary:
The value obtained for the magnetization is 1.439 μB per atom. As for the formation energy: 0.006 eV per atom. Its density of states at the Fermi level is 38.91 states/eV per cell.

abc: 7.8766 7.8766 12.3932
angles: 108.53 108.53 90.00
Last column: nearest neighbours and their distance in Å.
Sites, in units of the cell vectors:
1 Fe 0.2896 0.0164 0.8060  7 Fe 2.44-2.59
2 Cu 0.2500 0.2500 0.5000  10 Nd 3.10-3.24
3 Fe 0.7097 0.4337 0.0000  10 Fe 2.35-2.59
4 Fe 0.1193 0.2598 0.8791  9 Fe 2.41-2.68
5 Fe 0.5663 0.7097 0.0000  10 Fe 2.35-2.59
6 Fe 0.0164 0.5164 0.8060  7 Fe 2.44-2.59
7 Nd 0.8900 0.8900 0.7800  12 Fe 2.99-3.19, 1 Cu 3.10
8 Fe 0.5164 0.7896 0.8060  7 Fe 2.44-2.59
9 Nd 0.1472 0.6472 0.6226  3 Fe 2.84-3.01
10 Nd 0.4754 0.9754 0.6226  3 Fe 2.84-3.01
11 Fe 0.2903 0.5663 0.0000  10 Fe 2.35-2.59
12 Fe 0.2598 0.7598 0.8791  9 Fe 2.41-2.68
13 Nd 0.0246 0.8528 0.3774  3 Fe 2.84-3.01
14 Fe 0.7598 0.6193 0.8791  9 Fe 2.41-2.68
15 Fe 0.9337 0.2097 0.0000  10 Fe 2.35-2.59
16 Fe 0.5000 0.0000 0.0000  12 Fe 2.35-2.49
17 Fe 0.2104 0.7104 0.1940  7 Fe 2.44-2.59
18 Nd 0.8528 0.3528 0.3774  3 Fe 2.84-3.01
19 Fe 0.6193 0.1193 0.8791  9 Fe 2.41-2.68
20 Fe 0.4337 0.2903 0.0000  10 Fe 2.35-2.59
21 Fe 0.7402 0.2402 0.1209  9 Fe 2.41-2.68
22 Fe 0.8807 0.7402 0.1209  9 Fe 2.41-2.68
23 Fe 0.7896 0.2896 0.8060  7 Fe 2.44-2.59
24 Fe 0.9836 0.4836 0.1940  7 Fe 2.44-2.59
25 Nd 0.3528 0.5246 0.3774  3 Fe 2.84-3.01
26 Fe 0.7104 0.9836 0.1940  7 Fe 2.44-2.59
27 Nd 0.3900 0.3900 0.7800  12 Fe 2.99-3.19, 1 Cu 3.10
28 Nd 0.5246 0.0246 0.3774  3 Fe 2.84-3.01
29 Fe 0.0000 0.5000 0.0000  12 Fe 2.35-2.49
30 Fe 0.2097 0.0663 0.0000  10 Fe 2.35-2.59
31 Nd 0.6472 0.4754 0.6226  3 Fe 2.84-3.01
32 Fe 0.4836 0.2104 0.1940  7 Fe 2.44-2.59
33 Nd 0.1100 0.1100 0.2200  12 Fe 2.99-3.19, 1 Cu 3.10
34 Nd 0.9754 0.1472 0.6226  3 Fe 2.84-3.01
35 Fe 0.0663 0.7903 0.0000  10 Fe 2.35-2.59
36 Nd 0.6100 0.6100 0.2200  12 Fe 2.99-3.19, 1 Cu 3.10
37 Fe 0.2402 0.3807 0.1209  9 Fe 2.41-2.68
38 Cu 0.7500 0.7500 0.5000  10 Nd 3.10-3.24
39 Fe 0.7903 0.9337 0.0000  10 Fe 2.35-2.59
40 Fe 0.3807 0.8807 0.1209  9 Fe 2.41-2.68

# Sb2O5

A crystal of Sb2O5 relaxed with PBEsol (meta-GGA SCAN, the Alexandria database).

Summary:
The value obtained for the relative energy among the computed polymorphs is 80.7 meV per atom. The value obtained for the magnetization is 0.000 μB per atom.

abc: 4.8918 8.2467 10.4978
angles: 117.29 90.00 90.00
Last column: nearest neighbours and their distance in Å.
Sites, in units of the cell vectors:
1 O 0.2680 0.5162 0.2940  2 Sb 1.91-1.96
2 Sb 0.5119 0.5581 0.1701  6 O 1.91-2.12
3 O 0.7976 0.7146 0.3124  3 Sb 2.02-2.14
4 O 0.7089 0.3309 0.1102  2 Sb 1.94-1.99
5 O 0.2320 0.0162 0.7940  2 Sb 1.91-1.96
6 Sb 0.0183 0.6438 0.4559  6 O 1.96-2.14
7 O 0.7024 0.2146 0.8124  3 Sb 2.02-2.14
8 O 0.2911 0.6691 0.8898  2 Sb 1.94-1.99
9 Sb 0.4881 0.4419 0.8299  6 O 1.91-2.12
10 O 0.7056 0.6127 0.0183  3 Sb 2.07-2.12
11 Sb 0.5183 0.8562 0.0441  6 O 1.96-2.14
12 O 0.7804 0.4358 0.4187  2 Sb 1.96-1.98
13 O 0.2804 0.0642 0.0813  2 Sb 1.96-1.98
14 O 0.2196 0.5642 0.5813  2 Sb 1.96-1.98
15 O 0.7320 0.4838 0.7060  2 Sb 1.91-1.96
16 O 0.7196 0.9358 0.9187  2 Sb 1.96-1.98
17 Sb 0.0119 0.9419 0.3299  6 O 1.91-2.12
18 O 0.7680 0.9838 0.2060  2 Sb 1.91-1.96
19 O 0.2944 0.3873 0.9817  3 Sb 2.07-2.12
20 O 0.7944 0.1127 0.5183  3 Sb 2.07-2.12
21 O 0.7911 0.8309 0.6102  2 Sb 1.94-1.99
22 O 0.2056 0.8873 0.4817  3 Sb 2.07-2.12
23 O 0.2089 0.1691 0.3898  2 Sb 1.94-1.99
24 O 0.2024 0.2854 0.6876  3 Sb 2.02-2.14
25 Sb 0.9817 0.3562 0.5441  6 O 1.96-2.14
26 Sb 0.9881 0.0581 0.6701  6 O 1.91-2.12
27 O 0.2976 0.7854 0.1876  3 Sb 2.02-2.14
28 Sb 0.4817 0.1438 0.9559  6 O 1.96-2.14

# HgP2CO

A crystal of HgP2CO relaxed with PBEsol (meta-GGA SCAN, the Alexandria database).

Summary:
The value obtained for the magnetization is 0.000 μB per atom. The calculation puts the uncorrected energy at -99.299 eV per formula unit. Its density of states at the Fermi level is 2.51 states/eV per cell.

abc: 3.4176 4.2669 4.2669
angles: 90.00 90.00 90.00
Last column: nearest neighbours and their distance in Å.
Sites, in units of the cell vectors:
1 O 0.5000 0.0000 0.0000  2 C 1.71
2 C 0.0000 0.0000 0.0000  2 O 1.71
3 P 0.0000 0.5000 0.0000  2 C 2.13
4 P 0.0000 0.0000 0.5000  2 C 2.13
5 Hg 0.5000 0.5000 0.5000  8 P 2.73, 4 O 3.02

# Te2PtRh

A crystal of Te2PtRh relaxed with PBEsol (meta-GGA SCAN, the Alexandria database).

Summary:
The value obtained for the relative energy among the computed polymorphs is 150.5 meV per atom. The value obtained for the magnetization is 0.000 μB per atom. Its density of states at the Fermi level is 2.38 states/eV per cell.

abc: 3.7649 3.9303 5.5490
angles: 89.98 109.83 90.00
Last column: nearest neighbours and their distance in Å.
Sites, in units of the cell vectors:
1 Pt 0.5271 0.6252 0.0543  5 Te 2.71-2.77, 2 Rh 2.85
2 Te 0.9802 0.1251 0.9603  1 Rh 2.66, 4 Pt 2.76-2.77
3 Te 0.2676 0.6250 0.5352  1 Pt 2.71, 4 Rh 2.76
4 Rh 0.7251 0.1246 0.4502  5 Te 2.66-2.76, 2 Pt 2.85

# Si2MoAs

A crystal of Si2MoAs relaxed with PBEsol (meta-GGA SCAN, the Alexandria database).

Summary:
The value obtained for the magnetization is 0.393 μB per atom. The calculation puts the uncorrected energy at -72.479 eV per formula unit. Its density of states at the Fermi level is 4.74 states/eV per cell.

abc: 5.8159 5.8159 6.4782
angles: 116.67 116.67 90.00
Last column: nearest neighbours and their distance in Å.
Sites, in units of the cell vectors:
1 Si 0.1250 0.1253 0.7500  2 As 2.41, 2 Mo 2.41
2 Si 0.3753 0.8750 0.2500  2 As 2.41, 2 Mo 2.41
3 Si 0.8747 0.3750 0.2500  2 As 2.41, 2 Mo 2.41
4 Mo 0.2500 0.7500 0.5000  4 Si 2.41
5 Si 0.6250 0.6247 0.7500  2 As 2.41, 2 Mo 2.41
6 As 0.5000 0.5000 0.0000  4 Si 2.41
7 As 0.7500 0.2500 0.5000  4 Si 2.41
8 Mo 0.0000 0.0000 0.0000  4 Si 2.41

# ScTcSeBr2

A crystal of ScTcSeBr2 relaxed with PBEsol (meta-GGA SCAN, the Alexandria database).

Summary:
The value obtained for the relative energy among the computed polymorphs is 281.2 meV per atom. The value obtained for the magnetization is 0.148 μB per atom. Its density of states at the Fermi level is 4.60 states/eV per cell.

abc: 4.7228 5.0097 5.0097
angles: 90.00 90.00 90.00
Last column: nearest neighbours and their distance in Å.
Sites, in units of the cell vectors:
1 Se 0.5000 0.0000 0.0000  2 Tc 2.36
2 Tc 0.0000 0.0000 0.0000  2 Se 2.36, 4 Br 2.50
3 Sc 0.5000 0.5000 0.5000  8 Br 3.44, 4 Se 3.54
4 Br 0.0000 0.5000 0.0000  2 Tc 2.50
5 Br 0.0000 0.0000 0.5000  2 Tc 2.50